The following is a PBE calculation of NpFeCo4 after structural relaxation, from Alexandria.

The value obtained for the formation energy from the elements is -0.01 eV per atom. The distance to the lowest polymorph of the same formula is 0 meV per atom. The total magnetization comes out at 4.750 μB per formula unit. Its mass density is 11.03 g/cm3.

The space group is F-43m (No. 216) and the conventional cell measures 6.829, 6.829 and 6.829 Å, with angles of 90.00, 90.00 and 90.00 degrees. The asymmetric unit holds Np at (0.000, 0.000, 0.000), Fe at (0.250, 0.250, 0.750) and Co at (0.124, 0.124, 0.376).

=====

The following is a PBE calculation of ScPaPbO6 after structural relaxation, from Alexandria.

The total magnetization comes out at 0.000 μB per formula unit. The value obtained for the uncorrected formation energy is -2.60 eV per atom. Its mass density is 7.63 g/cm3.

The space group is P312 (No. 149) and the conventional cell measures 5.4715, 5.4715 and 4.8646 Å, with angles of 90.00, 90.00 and 120.00 degrees. The asymmetric unit holds Sc at (0.0000, 0.0000, 0.0000), Pa at (0.6667, 0.3333, 0.5000), Pb at (0.3333, 0.6667, 0.0000) and O at (0.3301, 0.0066, 0.7587).

=====

The following is a PBE calculation of MnCuMo2 after structural relaxation, from Alexandria.

The value obtained for the formation energy from the elements is 0.66 eV per atom. The distance to the lowest polymorph of the same formula is 473 meV per atom. The total magnetization comes out at 0.000 μB per formula unit. Its mass density is 8.68 g/cm3.

The space group is I-42d (No. 122) and the conventional cell measures 6.785, 6.785 and 5.158 Å, with angles of 90.00, 90.00 and 90.00 degrees. The asymmetric unit holds Mn at (0.000, 0.000, 0.000), Cu at (0.000, 0.000, 0.500) and Mo at (0.215, 0.750, 0.125).

=====

D(E_F), respectively: 31.290; 0.000; 12.590 states/eV/cell.